First-principles (PBE) data for a geometry-optimized LiNdTc structure, as listed in OQMD.

## Properties
**Polymorph energy (0 for the lowest one)**: 332.1 meV/atom
**Spin magnetization**: 1.0 Bohr magnetons per cell
**Crystal system**: cubic
**Space-group type**: F-43m (216)

a = 4.6113 Å, b = 4.6113 Å, c = 4.6113 Å
α = 60.00°, β = 60.00°, γ = 60.00°
Fractional positions:
Li 0.0000 0.0000 0.0000
Nd 0.2500 0.2500 0.2500
Tc 0.5000 0.5000 0.5000

First-principles (PBE) data for a geometry-optimized LiNdTc structure, as listed in OQMD.

## Properties
**Polymorph energy (0 for the lowest one)**: 0.0 meV/atom
**Spin magnetization**: 1.1 Bohr magnetons per cell
**Crystal system**: cubic
**Space-group type**: F-43m (216)

a = 4.4513 Å, b = 4.4513 Å, c = 4.4513 Å
α = 60.00°, β = 60.00°, γ = 60.00°
Fractional positions:
Li 0.0000 0.0000 0.0000
Nd 0.7500 0.7500 0.7500
Tc 0.2500 0.2500 0.2500

First-principles (PBE) data for a geometry-optimized LiNd5Te6 structure, as listed in OQMD.

## Properties
**Spin magnetization**: 0.0 Bohr magnetons per cell
**Raw total energy**: -5.119 eV per atom
**Crystal system**: monoclinic
**Space-group type**: C2/m (12)

a = 7.7241 Å, b = 7.7241 Å, c = 7.7404 Å
α = 99.64°, β = 99.64°, γ = 120.06°
Fractional positions:
Li 0.0000 0.0000 0.0000
Nd 0.1711 0.8289 0.5000
Nd 0.3355 0.6645 0.0000
Nd 0.5000 0.5000 0.5000
Nd 0.6645 0.3355 0.0000
Nd 0.8289 0.1711 0.5000
Te 0.0792 0.3988 0.2406
Te 0.2371 0.2371 0.7561
Te 0.3988 0.0792 0.2406
Te 0.6012 0.9208 0.7594
Te 0.7629 0.7629 0.2439
Te 0.9208 0.6012 0.7594